No. 1
VASP calculation (PBE) on CaAsRu3 after structural relaxation.

The space group is Pm-3m (No. 221) and the conventional cell measures 4.666, 4.666 and 4.666 Å, with angles of 90.00, 90.00 and 90.00 degrees. The asymmetric unit holds Ca at (0.000, 0.000, 0.000), As at (0.500, 0.500, 0.500) and Ru at (0.000, 0.000, 0.500).

The value obtained for the density of states at the Fermi level is 7.599 states/eV/cell. The energy relative to the lowest polymorph listed for this composition comes out at 1866 meV per atom. The value obtained for the total moment is 0.25 μB per atom. Its total energy is -23.15 eV for the cell shown. For the calculated density, the calculation gives 6.8 g cm⁻³.


No. 2
VASP calculation (PBE) on MgPaZn11 after structural relaxation.

The space group is C2/m (No. 12) and the conventional cell measures 5.281, 12.550 and 6.926 Å, with angles of 90.00, 112.36 and 90.00 degrees. The asymmetric unit holds Mg at (0.000, 0.000, 0.000), Pa at (0.000, 0.500, 0.500), Zn at (0.000, 0.500, 0.000), Zn at (0.110, 0.108, 0.711), Zn at (0.167, 0.321, 0.850) and Zn at (0.250, 0.250, 0.500).

The value obtained for the density of states at the Fermi level is 15.129 states/eV/cell. The value obtained for the total moment is 0.07 μB per atom. Its total energy is -51.87 eV for the cell shown. For the calculated density, the calculation gives 7.6 g cm⁻³.


No. 3
VASP calculation (PBE) on TlReCl2 after structural relaxation.

The space group is Cmmm (No. 65) and the conventional cell measures 3.036, 5.849 and 9.829 Å, with angles of 90.00, 90.00 and 90.00 degrees. The asymmetric unit holds Tl at (0.000, 0.000, 0.000), Re at (0.000, 0.000, 0.500) and Cl at (0.000, 0.500, 0.308).

The value obtained for the density of states at the Fermi level is 4.938 states/eV/cell. The energy relative to the lowest polymorph listed for this composition comes out at 132 meV per atom. The value obtained for the total moment is 0.00 μB per atom. Its total energy is -35.22 eV for the cell shown. For the calculated density, the calculation gives 8.8 g cm⁻³.


No. 4
VASP calculation (PBE) on Th7Sn2Ge2 after structural relaxation.

The space group is Cmmm (No. 65) and the conventional cell measures 8.775, 11.251 and 6.990 Å, with angles of 90.00, 90.00 and 90.00 degrees. The asymmetric unit holds Th at (0.000, 0.000, 0.000), Th at (0.000, 0.500, 0.249), Th at (0.250, 0.250, 0.273), Sn at (0.171, 0.000, 0.500) and Ge at (0.000, 0.271, 0.000).

The value obtained for the density of states at the Fermi level is 22.433 states/eV/cell. The value obtained for the total moment is 0.00 μB per atom. Its total energy is -142.27 eV for the cell shown. For the calculated density, the calculation gives 9.7 g cm⁻³.


No. 5
VASP calculation (PBE) on K2RbRh after structural relaxation.

The space group is Fm-3m (No. 225) and the conventional cell measures 8.261, 8.261 and 8.261 Å, with angles of 90.00, 90.00 and 90.00 degrees. The asymmetric unit holds K at (0.250, 0.250, 0.250), Rb at (0.000, 0.000, 0.000) and Rh at (0.000, 0.000, 0.500).

The value obtained for the density of states at the Fermi level is 150.872 states/eV/cell. The energy relative to the lowest polymorph listed for this composition comes out at 0 meV per atom. The value obtained for the total moment is 0.00 μB per atom. Its total energy is -32.78 eV for the cell shown. For the calculated density, the calculation gives 3.1 g cm⁻³.


No. 6
VASP calculation (PBE) on TaFe2Ag after structural relaxation.

The space group is Pmmm (No. 47) and the conventional cell measures 3.134, 3.198 and 5.819 Å, with angles of 90.00, 90.00 and 90.00 degrees. The asymmetric unit holds Ta at (0.000, 0.000, 0.000), Fe at (0.500, 0.500, 0.226) and Ag at (0.000, 0.000, 0.500).

The value obtained for the density of states at the Fermi level is 4.250 states/eV/cell. The energy relative to the lowest polymorph listed for this composition comes out at 3 meV per atom. The value obtained for the total moment is 0.64 μB per atom. Its total energy is -30.83 eV for the cell shown. For the calculated density, the calculation gives 11.4 g cm⁻³.


No. 7
VASP calculation (PBE) on GeP2PdO after structural relaxation.

The space group is P4/mmm (No. 123) and the conventional cell measures 4.799, 4.799 and 3.832 Å, with angles of 90.00, 90.00 and 90.00 degrees. The asymmetric unit holds Ge at (0.000, 0.000, 0.000), P at (0.000, 0.500, 0.500), Pd at (0.500, 0.500, 0.500) and O at (0.500, 0.500, 0.000).

The value obtained for the density of states at the Fermi level is 7.537 states/eV/cell. The energy relative to the lowest polymorph listed for this composition comes out at 213 meV per atom. The value obtained for the total moment is 0.00 μB per atom. Its total energy is -22.86 eV for the cell shown. For the calculated density, the calculation gives 4.8 g cm⁻³.


No. 8
VASP calculation (PBE) on AlGaPdRu after structural relaxation.

The space group is Pmmm (No. 47) and the conventional cell measures 3.105, 4.246 and 4.265 Å, with angles of 90.00, 90.00 and 90.00 degrees. The asymmetric unit holds Al at (0.000, 0.000, 0.000), Ga at (0.000, 0.500, 0.500), Pd at (0.500, 0.500, 0.000) and Ru at (0.500, 0.000, 0.500).

The value obtained for the density of states at the Fermi level is 1.220 states/eV/cell. The energy relative to the lowest polymorph listed for this composition comes out at 0 meV per atom. The value obtained for the total moment is 0.00 μB per atom. Its total energy is -23.91 eV for the cell shown. For the calculated density, the calculation gives 9.0 g cm⁻³.


No. 9
VASP calculation (PBE) on Na2MgRh3F12 after structural relaxation.

The space group is R-3m (No. 166, hexagonal axes) and the conventional cell measures 7.5082, 7.5082 and 18.2207 Å, with angles of 90.00, 90.00 and 120.00 degrees. The asymmetric unit holds Na at (0.0000, 0.0000, 0.2009), Mg at (0.0000, 0.0000, 0.5000), Rh at (0.0000, 0.5000, 0.0000), F at (0.0707, 0.5354, 0.1080) and F at (0.0776, 0.5388, 0.3671).

The value obtained for the density of states at the Fermi level is 14.214 states/eV/cell. The value obtained for the total moment is 0.06 μB per atom. Its total energy is -256.27 eV for the cell shown. For the calculated density, the calculation gives 3.4 g cm⁻³.


No. 10
VASP calculation (PBE) on LaCeAl2O6 after structural relaxation.

The space group is P4/mmm (No. 123) and the conventional cell measures 3.796, 3.796 and 7.608 Å, with angles of 90.00, 90.00 and 90.00 degrees. The asymmetric unit holds La at (0.000, 0.000, 0.000), Ce at (0.000, 0.000, 0.500), Al at (0.500, 0.500, 0.251), O at (0.000, 0.500, 0.251), O at (0.500, 0.500, 0.000) and O at (0.500, 0.500, 0.500).

The value obtained for the density of states at the Fermi level is 6.828 states/eV/cell. The energy relative to the lowest polymorph listed for this composition comes out at 5 meV per atom. The value obtained for the total moment is 0.10 μB per atom. Its total energy is -80.46 eV for the cell shown. For the calculated density, the calculation gives 6.5 g cm⁻³.


No. 11
VASP calculation (PBE) on SrTl2Cl4 after structural relaxation.

The space group is P4_122 (No. 91) and the conventional cell measures 9.284, 9.284 and 12.618 Å, with angles of 90.00, 90.00 and 90.00 degrees. The asymmetric unit holds Sr at (0.000, 0.246, 0.000), Tl at (0.251, 0.251, 0.375), Tl at (0.251, 0.500, 0.750), Cl at (0.024, 0.226, 0.769) and Cl at (0.227, 0.459, 0.006).

The value obtained for the density of states at the Fermi level is 0.000 states/eV/cell. The energy relative to the lowest polymorph listed for this composition comes out at 0 meV per atom. The value obtained for the total moment is 0.00 μB per atom. Its total energy is -100.91 eV for the cell shown. For the calculated density, the calculation gives 3.9 g cm⁻³.


No. 12
VASP calculation (PBE) on Tb6P5Se after structural relaxation.

The space group is C2/m (No. 12) and the conventional cell measures 7.000, 12.112 and 7.001 Å, with angles of 90.00, 109.48 and 90.00 degrees. The asymmetric unit holds Tb at (0.243, 0.000, 0.255), Tb at (0.244, 0.171, 0.745), P at (0.000, 0.000, 0.500), P at (0.000, 0.167, 0.000), P at (0.000, 0.336, 0.500) and Se at (0.000, 0.500, 0.000).

The value obtained for the density of states at the Fermi level is 4.809 states/eV/cell. The value obtained for the total moment is 0.00 μB per atom. Its total energy is -157.42 eV for the cell shown. For the calculated density, the calculation gives 7.0 g cm⁻³.


No. 13
VASP calculation (PBE) on Er8As3P3S after structural relaxation.

The space group is R-3m (No. 166, hexagonal axes) and the conventional cell measures 7.9449, 7.9449 and 19.5426 Å, with angles of 90.00, 90.00 and 120.00 degrees. The asymmetric unit holds Er at (0.0000, 0.0000, 0.2473), Er at (0.0026, 0.5013, 0.7522), As at (0.0000, 0.5000, 0.0000), P at (0.0000, 0.5000, 0.5000) and S at (0.0000, 0.0000, 0.5000).

The value obtained for the density of states at the Fermi level is 19.844 states/eV/cell. The value obtained for the total moment is 0.00 μB per atom. Its total energy is -280.42 eV for the cell shown. For the calculated density, the calculation gives 7.9 g cm⁻³.


No. 14
VASP calculation (PBE) on Cs2Rb16Na after structural relaxation.

The space group is R3m (No. 160, hexagonal axes) and the conventional cell measures 15.2246, 15.2246 and 26.0055 Å, with angles of 90.00, 90.00 and 120.00 degrees. The asymmetric unit holds Cs at (0.0000, 0.0000, 0.0000), Cs at (0.0000, 0.0000, 0.3224), Rb at (0.0000, 0.0000, 0.5910), Rb at (0.0213, 0.3538, 0.3280), Rb at (0.2089, 0.4177, 0.1399), Rb at (0.2136, 0.4273, 0.5030), Rb at (0.2165, 0.4330, 0.8323) and Na at (0.0000, 0.0000, 0.7363).

The value obtained for the density of states at the Fermi level is 55.823 states/eV/cell. The value obtained for the total moment is 0.00 μB per atom. Its total energy is -54.20 eV for the cell shown. For the calculated density, the calculation gives 1.6 g cm⁻³.


No. 15
VASP calculation (PBE) on Mn2SiPb after structural relaxation.

The space group is Cmmm (No. 65) and the conventional cell measures 5.886, 7.605 and 3.059 Å, with angles of 90.00, 90.00 and 90.00 degrees. The asymmetric unit holds Mn at (0.250, 0.250, 0.000), Si at (0.000, 0.000, 0.500) and Pb at (0.000, 0.500, 0.500).

The value obtained for the density of states at the Fermi level is 5.532 states/eV/cell. The energy relative to the lowest polymorph listed for this composition comes out at 280 meV per atom. The value obtained for the total moment is 1.66 μB per atom. Its total energy is -51.02 eV for the cell shown. For the calculated density, the calculation gives 8.4 g cm⁻³.


No. 16
VASP calculation (PBE) on CaMoN3 after structural relaxation.

The space group is P6_3/mmc (No. 194) and the conventional cell measures 3.5587, 3.5587 and 12.6436 Å, with angles of 90.00, 90.00 and 120.00 degrees. The asymmetric unit holds Ca at (0.0000, 0.0000, 0.0000), Mo at (0.3333, 0.6667, 0.2500), N at (0.0000, 0.0000, 0.2500) and N at (0.3333, 0.6667, 0.1005).

The value obtained for the density of states at the Fermi level is 4.212 states/eV/cell. The value obtained for the total moment is 0.20 μB per atom. Its total energy is -76.15 eV for the cell shown. For the calculated density, the calculation gives 4.3 g cm⁻³.


No. 17
VASP calculation (PBE) on ReOs2Se after structural relaxation.

The space group is Pmmm (No. 47) and the conventional cell measures 2.858, 3.752 and 5.723 Å, with angles of 90.00, 90.00 and 90.00 degrees. The asymmetric unit holds Re at (0.000, 0.000, 0.000), Os at (0.500, 0.500, 0.232) and Se at (0.000, 0.000, 0.500).

The value obtained for the density of states at the Fermi level is 3.216 states/eV/cell. The value obtained for the total moment is 0.00 μB per atom. Its total energy is -35.86 eV for the cell shown. For the calculated density, the calculation gives 17.5 g cm⁻³.


No. 18
VASP calculation (PBE) on ScCd2Cu6 after structural relaxation.

The space group is Fm-3m (No. 225) and the conventional cell measures 8.471, 8.471 and 8.471 Å, with angles of 90.00, 90.00 and 90.00 degrees. The asymmetric unit holds Sc at (0.000, 0.000, 0.000), Cd at (0.250, 0.250, 0.250) and Cu at (0.000, 0.000, 0.296).

The value obtained for the density of states at the Fermi level is 19.091 states/eV/cell. The value obtained for the total moment is 0.00 μB per atom. Its total energy is -119.21 eV for the cell shown. For the calculated density, the calculation gives 7.1 g cm⁻³.


No. 19
VASP calculation (PBE) on Ti2BiSe2 after structural relaxation.

The space group is P4/mbm (No. 127) and the conventional cell measures 7.713, 7.713 and 3.323 Å, with angles of 90.00, 90.00 and 90.00 degrees. The asymmetric unit holds Ti at (0.135, 0.365, 0.000), Bi at (0.000, 0.000, 0.000) and Se at (0.138, 0.638, 0.500).

The value obtained for the density of states at the Fermi level is 5.811 states/eV/cell. The energy relative to the lowest polymorph listed for this composition comes out at 0 meV per atom. The value obtained for the total moment is 0.00 μB per atom. Its total energy is -59.58 eV for the cell shown. For the calculated density, the calculation gives 7.8 g cm⁻³.


No. 20
VASP calculation (PBE) on Zr4In2N after structural relaxation.

The space group is P2/m (No. 10) and the conventional cell measures 5.895, 3.228 and 7.993 Å, with angles of 90.00, 104.87 and 90.00 degrees. The asymmetric unit holds Zr at (0.096, 0.000, 0.314), Zr at (0.246, 0.500, 0.005), In at (0.376, 0.500, 0.655) and N at (0.000, 0.000, 0.000).

The value obtained for the density of states at the Fermi level is 6.318 states/eV/cell. The energy relative to the lowest polymorph listed for this composition comes out at 86 meV per atom. The value obtained for the total moment is 0.00 μB per atom. Its total energy is -51.62 eV for the cell shown. For the calculated density, the calculation gives 6.9 g cm⁻³.